1.
{"formula": "LaNb2Cr", "functional": "GGA-PBEsol", "state": "optimized geometry", "sg": "Fm-3m", "e_tot_ev_per_fu": -35.02, "e_form_mev_per_atom": 553.8, "n_ef_per_ev_atom": 1.20, "lattice_angstrom": [[-2.4338, -1.9125, -3.4879], [-2.8313, -3.6096, 0.8374], [-4.6242, 0.5679, -0.2022]], "species": ["Nb", "Nb", "La", "Cr"], "fractional_positions": [[0.2500, 0.2500, 0.2500], [0.7500, 0.7500, 0.7500], [0.5000, 0.5000, 0.5000], [0.0000, 0.0000, 0.0000]]}

***

2.
{"formula": "LaNbCr3", "functional": "GGA-PBEsol", "state": "optimized geometry", "sg": "Pm-3m", "e_tot_ev_per_fu": -41.31, "e_form_mev_per_atom": 1117.3, "e_above_lowest_polymorph_ev_per_fu": 0.00, "n_ef_per_ev_atom": 1.17, "lattice_angstrom": [[4.7259, 0.0000, 0.0000], [0.0000, 4.7259, 0.0000], [0.0000, 0.0000, 4.7259]], "species": ["Cr", "Cr", "Cr", "La", "Nb"], "fractional_positions": [[0.0000, 0.0000, 0.5000], [0.5000, 0.0000, 0.0000], [0.0000, 0.5000, 0.0000], [0.5000, 0.5000, 0.5000], [0.0000, 0.0000, 0.0000]]}

***

3.
{"formula": "La3NdCr4O12", "functional": "GGA-PBEsol", "state": "optimized geometry", "sg": "Pm", "e_tot_ev_per_fu": -180.86, "raw_formation_energy_ev_per_atom": -2.78, "lattice_angstrom": [[5.4515, 0.0008, 0.0000], [-0.0052, 5.4744, 0.0000], [0.0000, 0.0000, 7.7073]], "species": ["O", "O", "O", "O", "O", "O", "O", "O", "O", "O", "O", "O", "Cr", "Cr", "Cr", "Cr", "Nd", "La", "La", "La"], "fractional_positions": [[0.2129, 0.7869, 0.2891], [0.2129, 0.7869, 0.7109], [0.7121, 0.7121, 0.7931], [0.7822, 0.2175, 0.7919], [0.7121, 0.7121, 0.2069], [0.7822, 0.2175, 0.2081], [0.5737, 0.9865, 0.5000], [0.4267, 0.0186, 0.0000], [0.2860, 0.2860, 0.2880], [0.0820, 0.5125, 0.0000], [0.2860, 0.2860, 0.7120], [0.9274, 0.4878, 0.5000], [0.0005, 0.5005, 0.7513], [0.0005, 0.5005, 0.2487], [0.4995, 0.9986, 0.2492], [0.4995, 0.9986, 0.7508], [0.5097, 0.4572, 0.0000], [0.4936, 0.5335, 0.5000], [0.9932, 0.9647, 0.0000], [0.0074, 0.0357, 0.5000]]}

***

4.
{"formula": "LaCrNi", "functional": "GGA-PBEsol", "state": "optimized geometry", "sg": "I4mm", "e_tot_ev_per_fu": -20.67, "e_form_mev_per_atom": 360.3, "e_above_lowest_polymorph_ev_per_fu": 0.31, "n_ef_per_ev_atom": 1.22, "lattice_angstrom": [[-2.4432, -0.6992, 2.0176], [2.0565, -1.5868, 1.9404], [1.1066, 5.5437, 0.6520]], "species": ["Cr", "Ni", "La"], "fractional_positions": [[0.9504, 0.9504, 0.9008], [0.3778, 0.3778, 0.7557], [0.6718, 0.6718, 0.3435]]}

***

5.
{"formula": "LaCrNi", "functional": "GGA-PBEsol", "state": "optimized geometry", "sg": "F-43m", "e_tot_ev_per_fu": -20.42, "e_form_mev_per_atom": 441.7, "e_above_lowest_polymorph_ev_per_fu": 0.55, "n_ef_per_ev_atom": 0.80, "lattice_angstrom": [[4.4923, 0.0000, 0.0000], [2.2462, 3.8905, 0.0000], [2.2462, 1.2968, 3.6680]], "species": ["Ni", "La", "Cr"], "fractional_positions": [[0.2500, 0.2500, 0.2500], [0.5000, 0.5000, 0.5000], [0.0000, 0.0000, 0.0000]]}

***

6.
{"formula": "La2CrNi", "functional": "GGA-PBEsol", "state": "optimized geometry", "sg": "R-3m", "e_tot_ev_per_fu": -25.48, "e_form_mev_per_atom": 402.9, "e_above_lowest_polymorph_ev_per_fu": 0.80, "n_ef_per_ev_atom": 0.86, "lattice_angstrom": [[-0.9797, 3.5876, -0.4394], [-3.6184, 0.9651, -0.0111], [-1.2814, 2.5505, 7.7229]], "species": ["La", "La", "Cr", "Ni"], "fractional_positions": [[0.7586, 0.7586, 0.7242], [0.2414, 0.2414, 0.2758], [0.0000, 0.0000, 0.0000], [0.5000, 0.5000, 0.5000]]}

***

7.
{"formula": "La2CrNi", "functional": "GGA-PBEsol", "state": "optimized geometry", "sg": "Imm2", "e_tot_ev_per_fu": -26.28, "e_form_mev_per_atom": 203.6, "e_above_lowest_polymorph_ev_per_fu": 0.00, "n_ef_per_ev_atom": 0.94, "lattice_angstrom": [[-1.8969, 2.6483, 1.2550], [-1.0862, -2.5074, 3.6494], [5.9044, 1.8455, 0.1748]], "species": ["La", "La", "Cr", "Ni"], "fractional_positions": [[0.2229, 0.7228, 0.4457], [0.0186, 0.0187, 0.0372], [0.8072, 0.3071, 0.6143], [0.4514, 0.4513, 0.9028]]}

***

8.
{"formula": "La2CrNi", "functional": "GGA-PBEsol", "state": "optimized geometry", "sg": "P4/mmm", "e_tot_ev_per_fu": -26.08, "e_form_mev_per_atom": 254.2, "e_above_lowest_polymorph_ev_per_fu": 0.20, "n_ef_per_ev_atom": 0.82, "lattice_angstrom": [[3.5324, 0.0000, 0.0000], [0.0000, 5.0333, 0.0000], [0.0000, 0.0000, 5.0280]], "species": ["La", "La", "Ni", "Cr"], "fractional_positions": [[0.0000, 0.0000, 0.0000], [0.0000, 0.5000, 0.5000], [0.5000, 0.5000, 0.0000], [0.5000, 0.0000, 0.5000]]}

***

9.
{"formula": "LaCrNi", "functional": "GGA-PBEsol", "state": "optimized geometry", "sg": "P-6m2", "e_tot_ev_per_fu": -20.97, "e_form_mev_per_atom": 257.7, "e_above_lowest_polymorph_ev_per_fu": 0.00, "n_ef_per_ev_atom": 1.28, "lattice_angstrom": [[-0.7234, 0.6549, -3.9803], [-0.2355, -3.7953, 1.5281], [-3.9518, 0.5723, 0.8123]], "species": ["La", "Ni", "Cr"], "fractional_positions": [[0.3333, 0.6667, 0.0000], [0.6667, 0.3333, 0.5000], [0.0000, 0.0000, 0.5000]]}

***

10.
{"formula": "LaCrNi", "functional": "GGA-PBEsol", "state": "optimized geometry", "sg": "F-43m", "e_tot_ev_per_fu": -18.61, "e_form_mev_per_atom": 1044.7, "e_above_lowest_polymorph_ev_per_fu": 2.36, "n_ef_per_ev_atom": 0.76, "lattice_angstrom": [[-2.1468, -3.2939, 1.9826], [2.2557, -3.2092, 2.0006], [-0.0123, -0.2906, 4.3937]], "species": ["Cr", "La", "Ni"], "fractional_positions": [[0.5000, 0.5000, 0.5000], [0.2500, 0.2500, 0.2500], [0.0000, 0.0000, 0.0000]]}

***

11.
{"formula": "LaCr2NiSe", "functional": "GGA-PBEsol", "state": "optimized geometry", "sg": "P4/mmm", "e_tot_ev_per_fu": -32.27, "raw_formation_energy_ev_per_atom": 0.71, "n_ef_per_ev_atom": 1.13, "lattice_angstrom": [[4.5370, 0.0000, 0.0000], [0.0000, 4.5370, 0.0000], [0.0000, 0.0000, 5.6190]], "species": ["Cr", "Cr", "Ni", "Se", "La"], "fractional_positions": [[0.5000, 0.0000, 0.0000], [0.0000, 0.5000, 0.0000], [0.5000, 0.5000, 0.5000], [0.0000, 0.0000, 0.0000], [0.0000, 0.0000, 0.5000]]}

***

12.
{"formula": "La2CrO6", "functional": "GGA-PBEsol", "state": "optimized geometry", "sg": "C2/c", "e_tot_ev_per_fu": -77.99, "raw_formation_energy_ev_per_atom": -2.84, "e_above_lowest_polymorph_ev_per_fu": 0.00, "n_ef_per_ev_atom": 0.00, "lattice_angstrom": [[-3.3050, -2.6652, -1.0303], [5.4321, -4.2674, 2.8770], [-4.3864, 2.9365, 6.4747]], "species": ["La", "La", "La", "La", "O", "O", "O", "O", "O", "O", "O", "O", "O", "O", "O", "O", "Cr", "Cr"], "fractional_positions": [[0.6776, 0.3386, 0.5845], [0.6610, 0.3386, 0.0845], [0.3224, 0.6614, 0.4155], [0.3390, 0.6614, 0.9155], [0.7377, 0.0029, 0.9097], [0.2653, 0.0029, 0.4097], [0.0730, 0.8019, 0.7020], [0.2623, 0.9971, 0.0903], [0.7778, 0.5137, 0.8783], [0.2641, 0.4863, 0.6217], [0.7289, 0.8019, 0.2020], [0.7347, 0.9971, 0.5903], [0.7359, 0.5137, 0.3783], [0.2222, 0.4863, 0.1217], [0.2711, 0.1981, 0.7980], [0.9270, 0.1981, 0.2980], [0.0396, 0.0000, 0.2500], [0.9604, 0.0000, 0.7500]]}